First-principles (GGA-PBE) data for BaBeGe2Ru after structural relaxation, as listed in Alexandria via LeMat-Bulk.

```
data_BaBeGe2Ru
_chemical_formula_sum 'Ba1 Be1 Ge2 Ru1'
_space_group_name_H-M_alt 'P 4/m m m'
_space_group_IT_number 123
_space_group_name_Hall '-P 4 2'
_cell_length_a 4.677
_cell_length_b 4.677
_cell_length_c 4.604
_cell_angle_alpha 90.00
_cell_angle_beta 90.00
_cell_angle_gamma 90.00
loop_
_atom_site_label
_atom_site_type_symbol
_atom_site_fract_x
_atom_site_fract_y
_atom_site_fract_z
_atom_site_occupancy
Ba1 Ba 0.000 0.000 0.000 1
Be1 Be 0.500 0.500 0.500 1
Ge1 Ge 0.000 0.500 0.500 1
Ru1 Ru 0.500 0.500 0.000 1
```

=====

First-principles (GGA-PBE) data for BaBe2H6 after structural relaxation, as listed in Alexandria via LeMat-Bulk.

```
data_BaBe2H6
_chemical_formula_sum 'Ba4 Be8 H24'
_space_group_name_H-M_alt 'F m -3 m'
_space_group_IT_number 225
_space_group_name_Hall '-F 4 2 3'
_cell_length_a 7.253
_cell_length_b 7.253
_cell_length_c 7.253
_cell_angle_alpha 90.00
_cell_angle_beta 90.00
_cell_angle_gamma 90.00
loop_
_atom_site_label
_atom_site_type_symbol
_atom_site_fract_x
_atom_site_fract_y
_atom_site_fract_z
_atom_site_occupancy
Ba1 Ba 0.000 0.000 0.000 1
Be1 Be 0.250 0.250 0.250 1
H1 H 0.000 0.000 0.372 1
```

* ΔE to the lowest computed polymorph: 1366 meV/atom

=====

First-principles (GGA-PBE) data for BaBeH2 after structural relaxation, as listed in Alexandria via LeMat-Bulk.

```
data_BaBeH2
_chemical_formula_sum 'Ba4 Be4 H8'
_space_group_name_H-M_alt 'F m -3 m'
_space_group_IT_number 225
_space_group_name_Hall '-F 4 2 3'
_cell_length_a 6.379
_cell_length_b 6.379
_cell_length_c 6.379
_cell_angle_alpha 90.00
_cell_angle_beta 90.00
_cell_angle_gamma 90.00
loop_
_atom_site_label
_atom_site_type_symbol
_atom_site_fract_x
_atom_site_fract_y
_atom_site_fract_z
_atom_site_occupancy
Ba1 Ba 0.000 0.000 0.000 1
Be1 Be 0.000 0.000 0.500 1
H1 H 0.250 0.250 0.250 1
```

* ΔE to the lowest computed polymorph: 179 meV/atom

=====

First-principles (GGA-PBE) data for Ba12Be3H5 after structural relaxation, as listed in Alexandria via LeMat-Bulk.

```
data_Ba12Be3H5
_chemical_formula_sum 'Ba96 Be24 H40'
_space_group_name_H-M_alt 'I a -3 d'
_space_group_IT_number 230
_space_group_name_Hall '-I 4bd 2c 3'
_cell_length_a 17.875
_cell_length_b 17.875
_cell_length_c 17.875
_cell_angle_alpha 90.00
_cell_angle_beta 90.00
_cell_angle_gamma 90.00
loop_
_atom_site_label
_atom_site_type_symbol
_atom_site_fract_x
_atom_site_fract_y
_atom_site_fract_z
_atom_site_occupancy
Ba1 Ba 0.033 0.060 0.655 1
Be1 Be 0.000 0.250 0.125 1
H1 H 0.000 0.000 0.000 1
H2 H 0.000 0.250 0.375 1
```

=====

First-principles (GGA-PBE) data for BaBe2H6 after structural relaxation, as listed in Alexandria via LeMat-Bulk.

```
data_BaBe2H6
_chemical_formula_sum 'Ba4 Be8 H24'
_space_group_name_H-M_alt 'C 1 2/c 1'
_space_group_IT_number 15
_space_group_name_Hall '-C 2yc'
_cell_length_a 9.180
_cell_length_b 9.729
_cell_length_c 4.424
_cell_angle_alpha 90.00
_cell_angle_beta 107.12
_cell_angle_gamma 90.00
loop_
_atom_site_label
_atom_site_type_symbol
_atom_site_fract_x
_atom_site_fract_y
_atom_site_fract_z
_atom_site_occupancy
Ba1 Ba 0.000 0.200 0.250 1
Be1 Be 0.211 0.446 0.905 1
H1 H 0.131 0.041 0.947 1
H2 H 0.136 0.450 0.160 1
H3 H 0.183 0.315 0.757 1
```

* ΔE to the lowest computed polymorph: 0 meV/atom

=====

First-principles (GGA-PBE) data for BaBe3H8 after structural relaxation, as listed in Alexandria via LeMat-Bulk.

```
data_BaBe3H8
_chemical_formula_sum 'Ba3 Be9 H24'
_space_group_name_H-M_alt 'R -3'
_space_group_IT_number 148
_space_group_name_Hall '-R 3'
_cell_length_a 4.4985
_cell_length_b 4.4985
_cell_length_c 19.0855
_cell_angle_alpha 90.00
_cell_angle_beta 90.00
_cell_angle_gamma 120.00
loop_
_atom_site_label
_atom_site_type_symbol
_atom_site_fract_x
_atom_site_fract_y
_atom_site_fract_z
_atom_site_occupancy
Ba1 Ba 0.0000 0.0000 0.0000 1
Be1 Be 0.0000 0.0000 0.2346 1
Be2 Be 0.0000 0.0000 0.5000 1
H1 H 0.0000 0.0000 0.3102 1
H2 H 0.0121 0.4213 0.1157 1
```

=====

First-principles (GGA-PBE) data for BaBe2H7 after structural relaxation, as listed in Alexandria via LeMat-Bulk.

```
data_BaBe2H7
_chemical_formula_sum 'Ba2 Be4 H14'
_space_group_name_H-M_alt 'C m m m'
_space_group_IT_number 65
_space_group_name_Hall '-C 2 2'
_cell_length_a 4.718
_cell_length_b 9.664
_cell_length_c 3.600
_cell_angle_alpha 90.00
_cell_angle_beta 90.00
_cell_angle_gamma 90.00
loop_
_atom_site_label
_atom_site_type_symbol
_atom_site_fract_x
_atom_site_fract_y
_atom_site_fract_z
_atom_site_occupancy
Ba1 Ba 0.000 0.000 0.000 1
Be1 Be 0.000 0.306 0.500 1
H1 H 0.000 0.304 0.000 1
H2 H 0.000 0.500 0.500 1
H3 H 0.199 0.150 0.500 1
```

=====

First-principles (GGA-PBE) data for BaBeH2 after structural relaxation, as listed in Alexandria via LeMat-Bulk.

```
data_BaBeH2
_chemical_formula_sum 'Ba4 Be4 H8'
_space_group_name_H-M_alt 'I 41/a m d'
_space_group_IT_number 141
_cell_length_a 4.626
_cell_length_b 4.626
_cell_length_c 10.331
_cell_angle_alpha 90.00
_cell_angle_beta 90.00
_cell_angle_gamma 90.00
loop_
_space_group_symop_operation_xyz
'x,y,z'
'-x,-y,-z'
'-y+1/4,x+3/4,z+1/4'
'y+1/4,-x+3/4,-z+1/4'
'-x+1/2,-y,z+1/2'
'x+1/2,y,-z+1/2'
'y+1/4,-x+1/4,z+3/4'
'-y+1/4,x+1/4,-z+3/4'
'x,-y,-z'
'-x,y,z'
'-y+1/4,-x+1/4,-z+3/4'
'y+1/4,x+1/4,z+3/4'
'-x+1/2,y,-z+1/2'
'x+1/2,-y,z+1/2'
'y+1/4,x+3/4,-z+1/4'
'-y+1/4,-x+3/4,z+1/4'
'x+1/2,y+1/2,z+1/2'
'-x+1/2,-y+1/2,-z+1/2'
'-y+3/4,x+1/4,z+3/4'
'y+3/4,-x+1/4,-z+3/4'
'-x,-y+1/2,z'
'x,y+1/2,-z'
'y+3/4,-x+3/4,z+1/4'
'-y+3/4,x+3/4,-z+1/4'
'x+1/2,-y+1/2,-z+1/2'
'-x+1/2,y+1/2,z+1/2'
'-y+3/4,-x+3/4,-z+1/4'
'y+3/4,x+3/4,z+1/4'
'-x,y+1/2,-z'
'x,-y+1/2,z'
'y+3/4,x+1/4,-z+3/4'
'-y+3/4,-x+1/4,z+3/4'
loop_
_atom_site_label
_atom_site_type_symbol
_atom_site_fract_x
_atom_site_fract_y
_atom_site_fract_z
_atom_site_occupancy
Ba1 Ba 0.000 0.250 0.375 1
Be1 Be 0.000 0.250 0.875 1
H1 H 0.000 0.000 0.000 1
```

* ΔE to the lowest computed polymorph: 0 meV/atom

=====

First-principles (GGA-PBE) data for BaLiBe2H8 after structural relaxation, as listed in Alexandria via LeMat-Bulk.

```
data_BaLiBe2H8
_chemical_formula_sum 'Ba1 Li1 Be2 H8'
_space_group_name_H-M_alt 'P -3'
_space_group_IT_number 147
_space_group_name_Hall '-P 3'
_cell_length_a 4.6464
_cell_length_b 4.6464
_cell_length_c 7.0302
_cell_angle_alpha 90.00
_cell_angle_beta 90.00
_cell_angle_gamma 120.00
loop_
_atom_site_label
_atom_site_type_symbol
_atom_site_fract_x
_atom_site_fract_y
_atom_site_fract_z
_atom_site_occupancy
Ba1 Ba 0.0000 0.0000 0.0000 1
Li1 Li 0.0000 0.0000 0.5000 1
Be1 Be 0.3333 0.6667 0.7178 1
H1 H 0.0562 0.3420 0.6759 1
H2 H 0.3333 0.6667 0.9300 1
```

=====

First-principles (GGA-PBE) data for BaLiBe2H6 after structural relaxation, as listed in Alexandria via LeMat-Bulk.

```
data_BaLiBe2H6
_chemical_formula_sum 'Ba3 Li3 Be6 H18'
_space_group_name_H-M_alt 'R -3 m'
_space_group_IT_number 166
_space_group_name_Hall '-R 3 2"'
_cell_length_a 4.8168
_cell_length_b 4.8168
_cell_length_c 16.5855
_cell_angle_alpha 90.00
_cell_angle_beta 90.00
_cell_angle_gamma 120.00
loop_
_atom_site_label
_atom_site_type_symbol
_atom_site_fract_x
_atom_site_fract_y
_atom_site_fract_z
_atom_site_occupancy
Ba1 Ba 0.0000 0.0000 0.0000 1
Li1 Li 0.0000 0.0000 0.5000 1
Be1 Be 0.0000 0.0000 0.2311 1
H1 H 0.0045 0.5022 0.9149 1
```

=====

First-principles (GGA-PBE) data for BaMgBeH6 after structural relaxation, as listed in Alexandria via LeMat-Bulk.

```
data_BaMgBeH6
_chemical_formula_sum 'Ba1 Mg1 Be1 H6'
_space_group_name_H-M_alt 'P 3 1 2'
_space_group_IT_number 149
_space_group_name_Hall 'P 3 2'
_cell_length_a 4.8013
_cell_length_b 4.8013
_cell_length_c 5.3748
_cell_angle_alpha 90.00
_cell_angle_beta 90.00
_cell_angle_gamma 120.00
loop_
_atom_site_label
_atom_site_type_symbol
_atom_site_fract_x
_atom_site_fract_y
_atom_site_fract_z
_atom_site_occupancy
Ba1 Ba 0.0000 0.0000 0.0000 1
Mg1 Mg 0.3333 0.6667 0.5000 1
Be1 Be 0.6667 0.3333 0.5000 1
H1 H 0.4180 0.0399 0.6883 1
```

=====

First-principles (GGA-PBE) data for BaMgBe2H8 after structural relaxation, as listed in Alexandria via LeMat-Bulk.

```
data_BaMgBe2H8
_chemical_formula_sum 'Ba1 Mg1 Be2 H8'
_space_group_name_H-M_alt 'P -3'
_space_group_IT_number 147
_space_group_name_Hall '-P 3'
_cell_length_a 4.6326
_cell_length_b 4.6326
_cell_length_c 7.2145
_cell_angle_alpha 90.00
_cell_angle_beta 90.00
_cell_angle_gamma 120.00
loop_
_atom_site_label
_atom_site_type_symbol
_atom_site_fract_x
_atom_site_fract_y
_atom_site_fract_z
_atom_site_occupancy
Ba1 Ba 0.0000 0.0000 0.0000 1
Mg1 Mg 0.0000 0.0000 0.5000 1
Be1 Be 0.3333 0.6667 0.7249 1
H1 H 0.0652 0.3456 0.6736 1
H2 H 0.3333 0.6667 0.9268 1
```

=====

First-principles (GGA-PBE) data for BaBeMoH2 after structural relaxation, as listed in Alexandria via LeMat-Bulk.

```
data_BaBeMoH2
_chemical_formula_sum 'Ba1 Be1 Mo1 H2'
_space_group_name_H-M_alt 'P 4/m m m'
_space_group_IT_number 123
_space_group_name_Hall '-P 4 2'
_cell_length_a 4.340
_cell_length_b 4.340
_cell_length_c 7.014
_cell_angle_alpha 90.00
_cell_angle_beta 90.00
_cell_angle_gamma 90.00
loop_
_atom_site_label
_atom_site_type_symbol
_atom_site_fract_x
_atom_site_fract_y
_atom_site_fract_z
_atom_site_occupancy
Ba1 Ba 0.000 0.000 0.000 1
Be1 Be 0.500 0.500 0.500 1
Mo1 Mo 0.000 0.000 0.500 1
H1 H 0.000 0.500 0.000 1
```

=====

First-principles (GGA-PBE) data for BaNaBe2H8 after structural relaxation, as listed in Alexandria via LeMat-Bulk.

```
data_BaNaBe2H8
_chemical_formula_sum 'Ba3 Na3 Be6 H24'
_space_group_name_H-M_alt 'R 3 2'
_space_group_IT_number 155
_space_group_name_Hall 'R 3 2"'
_cell_length_a 4.7286
_cell_length_b 4.7286
_cell_length_c 21.1355
_cell_angle_alpha 90.00
_cell_angle_beta 90.00
_cell_angle_gamma 120.00
loop_
_atom_site_label
_atom_site_type_symbol
_atom_site_fract_x
_atom_site_fract_y
_atom_site_fract_z
_atom_site_occupancy
Ba1 Ba 0.0000 0.0000 0.0000 1
Na1 Na 0.0000 0.0000 0.5000 1
Be1 Be 0.0000 0.0000 0.2471 1
H1 H 0.0000 0.0000 0.3162 1
H2 H 0.0112 0.4314 0.4423 1
```

=====

First-principles (GGA-PBE) data for BaBeNiH6 after structural relaxation, as listed in Alexandria via LeMat-Bulk.

```
data_BaBeNiH6
_chemical_formula_sum 'Ba1 Be1 Ni1 H6'
_space_group_name_H-M_alt 'P -6 m 2'
_space_group_IT_number 187
_space_group_name_Hall 'P -6 2'
_cell_length_a 4.3797
_cell_length_b 4.3797
_cell_length_c 5.1106
_cell_angle_alpha 90.00
_cell_angle_beta 90.00
_cell_angle_gamma 120.00
loop_
_atom_site_label
_atom_site_type_symbol
_atom_site_fract_x
_atom_site_fract_y
_atom_site_fract_z
_atom_site_occupancy
Ba1 Ba 0.0000 0.0000 0.0000 1
Be1 Be 0.3333 0.6667 0.5000 1
Ni1 Ni 0.6667 0.3333 0.5000 1
H1 H 0.0001 0.5001 0.3021 1
```

=====

First-principles (GGA-PBE) data for BaBe2PH2 after structural relaxation, as listed in Alexandria via LeMat-Bulk.

```
data_BaBe2PH2
_chemical_formula_sum 'Ba2 Be4 P2 H4'
_space_group_name_H-M_alt 'P 1 21/m 1'
_space_group_IT_number 11
_space_group_name_Hall '-P 2yb'
_cell_length_a 6.570
_cell_length_b 4.599
_cell_length_c 6.580
_cell_angle_alpha 90.00
_cell_angle_beta 117.34
_cell_angle_gamma 90.00
loop_
_atom_site_label
_atom_site_type_symbol
_atom_site_fract_x
_atom_site_fract_y
_atom_site_fract_z
_atom_site_occupancy
Ba1 Ba 0.174 0.250 0.326 1
Be1 Be 0.338 0.000 0.838 1
P1 P 0.368 0.750 0.131 1
H1 H 0.152 0.250 0.744 1
H2 H 0.245 0.750 0.652 1
```

=====

First-principles (GGA-PBE) data for BaBeH6Pb after structural relaxation, as listed in Alexandria via LeMat-Bulk.

```
data_BaBeH6Pb
_chemical_formula_sum 'Ba1 Be1 H6 Pb1'
_space_group_name_H-M_alt 'P 3 1 2'
_space_group_IT_number 149
_space_group_name_Hall 'P 3 2'
_cell_length_a 5.4231
_cell_length_b 5.4231
_cell_length_c 5.0820
_cell_angle_alpha 90.00
_cell_angle_beta 90.00
_cell_angle_gamma 120.00
loop_
_atom_site_label
_atom_site_type_symbol
_atom_site_fract_x
_atom_site_fract_y
_atom_site_fract_z
_atom_site_occupancy
Ba1 Ba 0.0000 0.0000 0.0000 1
Be1 Be 0.3333 0.6667 0.5000 1
H1 H 0.0845 0.4251 0.3101 1
Pb1 Pb 0.6667 0.3333 0.5000 1
```

=====

First-principles (GGA-PBE) data for BaBe2H8Pd after structural relaxation, as listed in Alexandria via LeMat-Bulk.

```
data_BaBe2H8Pd
_chemical_formula_sum 'Ba3 Be6 H24 Pd3'
_space_group_name_H-M_alt 'R -3'
_space_group_IT_number 148
_space_group_name_Hall '-R 3'
_cell_length_a 4.6210
_cell_length_b 4.6210
_cell_length_c 19.6631
_cell_angle_alpha 90.00
_cell_angle_beta 90.00
_cell_angle_gamma 120.00
loop_
_atom_site_label
_atom_site_type_symbol
_atom_site_fract_x
_atom_site_fract_y
_atom_site_fract_z
_atom_site_occupancy
Ba1 Ba 0.0000 0.0000 0.0000 1
Be1 Be 0.0000 0.0000 0.2364 1
H1 H 0.0000 0.0000 0.3099 1
H2 H 0.0014 0.6222 0.8875 1
Pd1 Pd 0.0000 0.0000 0.5000 1
```

=====

First-principles (GGA-PBE) data for BaBeH6Pt after structural relaxation, as listed in Alexandria via LeMat-Bulk.

```
data_BaBeH6Pt
_chemical_formula_sum 'Ba1 Be1 H6 Pt1'
_space_group_name_H-M_alt 'P -6 m 2'
_space_group_IT_number 187
_space_group_name_Hall 'P -6 2'
_cell_length_a 4.5609
_cell_length_b 4.5609
_cell_length_c 5.1496
_cell_angle_alpha 90.00
_cell_angle_beta 90.00
_cell_angle_gamma 120.00
loop_
_atom_site_label
_atom_site_type_symbol
_atom_site_fract_x
_atom_site_fract_y
_atom_site_fract_z
_atom_site_occupancy
Ba1 Ba 0.0000 0.0000 0.0000 1
Be1 Be 0.6667 0.3333 0.5000 1
H1 H 0.5082 0.0163 0.2883 1
Pt1 Pt 0.3333 0.6667 0.5000 1
```

=====

V list, top to bottom, in A^3/atom: 20.1, 10.6, 16.2, 35.7, 10.5, 9.3, 8.2, 13.8, 11.0, 11.1, 11.9, 11.2, 26.4, 11.4, 9.4, 14.7, 14.4, 10.1, 10.3
VASP energy list, top to bottom, in eV for the cell shown: -22.59, -78.89, -44.03, -404.03, -128.06, -126.11, -64.44, -46.89, -38.96, -100.99, -29.24, -41.37, -15.42, -115.16, -33.78, -47.12, -28.91, -127.64, -34.09